## a
Below is an optimized crystal structure of HfGeRuRh, with properties calculated at the PBE level.

Cell: 4.230 4.230 4.586 Å, 117.47 117.47 90.00°
Fractional positions:
Rh 0.500 0.500 0.000
Ge 0.750 0.250 0.500
Ru 0.000 0.000 0.000
Hf 0.250 0.750 0.500

The calculation puts the calculated density at 12151 kg/m³. For the total magnetic moment, the calculation gives 0.00 μB/atom. For the volume, the calculation gives 62 Å³ per cell.


## b
Below is an optimized crystal structure of HfGeRuRh, with properties calculated at the PBE level.

Cell: 4.453 4.453 4.453 Å, 60.00 60.00 60.00°
Last column: magnetic moment on the atom in μB.
Fractional positions:
Ge 0.250 0.250 0.250  0.03
Hf 0.750 0.750 0.750  0.01
Ru 0.000 0.000 0.000  0.28
Rh 0.500 0.500 0.500  0.27

The calculation puts the calculated density at 12104 kg/m³. For the total magnetic moment, the calculation gives 0.15 μB/atom. For the volume, the calculation gives 62 Å³ per cell.


The structure with the most favorable energy is a; the runner-up is 0.053 eV/atom above it.